This record from Alexandria describes an optimized crystal structure of PmScBeRu. The functional is PBE.

- calculated formation energy (eV per atom) = -0.093
- density (Mg/m³) = 6.54
- D(E_F) (states/eV per cell) = 3.67
- E (eV/atom) = -6.1139
- crystal system = cubic

a = 4.759 Å, b = 4.759 Å, c = 4.759 Å
α = 60.00°, β = 60.00°, γ = 60.00°
Sites, in units of the cell vectors:
1 Sc 0.750 0.750 0.750
2 Ru 0.500 0.500 0.500
3 Be 0.000 0.000 0.000
4 Pm 0.250 0.250 0.250

=====

This record from Alexandria describes an optimized crystal structure of Y2NpAg3Te6. The functional is PBE.

- raw formation energy (eV per atom) = -0.71
- density (Mg/m³) = 6.39
- D(E_F) (states/eV per cell) = 5.05
- E (eV/atom) = -5.1485
- crystal system = monoclinic

a = 4.467 Å, b = 10.535 Å, c = 8.897 Å
α = 104.89°, β = 104.54°, γ = 90.00°
Sites, in units of the cell vectors:
1 Y 0.839 0.665 0.677
2 Y 0.161 0.335 0.323
3 Np 0.500 0.000 0.000
4 Ag 0.500 0.500 0.000
5 Ag 0.827 0.032 0.654
6 Ag 0.173 0.968 0.346
7 Te 0.308 0.855 0.617
8 Te 0.658 0.533 0.315
9 Te 0.692 0.145 0.383
10 Te 0.982 0.202 0.965
11 Te 0.018 0.798 0.035
12 Te 0.342 0.467 0.685